La4DySn2 | PBE-GGA | optimized geometry

Cell and atoms, written as POSCAR:
```
La4DySn2
1.0
5.5686 0.0000 0.0000
0.0000 5.5686 0.0000
0.0000 0.0000 16.7993
La Dy Sn
8 2 4
Direct
0.0000 0.0000 0.1822
0.0000 0.0000 0.8178
0.0000 0.5000 0.0000
0.0000 0.5000 0.5000
0.5000 0.0000 0.0000
0.5000 0.0000 0.5000
0.5000 0.5000 0.3178
0.5000 0.5000 0.6822
0.0000 0.0000 0.0000
0.5000 0.5000 0.5000
0.0000 0.0000 0.3689
0.0000 0.0000 0.6311
0.5000 0.5000 0.1311
0.5000 0.5000 0.8689
```

Summary:
- calculated volume (Å³/atom) = 37.2
- total DFT energy (no corrections) (hartree per atom) = -0.165

***

Hf8Bi3Sb2 | PBE-GGA | optimized geometry

Cell and atoms, written as POSCAR:
```
Hf8Bi3Sb2
1.0
6.5935 -4.1984 0.0000
6.5935 4.1984 0.0000
-0.2596 0.0000 5.9630
Hf Bi Sb
8 3 2
Direct
0.0498 0.6907 0.1086
0.1028 0.1028 0.4101
0.3087 0.3087 0.6684
0.3093 0.9502 0.8914
0.6907 0.0498 0.1086
0.6913 0.6913 0.3316
0.8972 0.8972 0.5899
0.9502 0.3093 0.8914
0.3035 0.6965 0.5000
0.5000 0.5000 0.0000
0.6965 0.3035 0.5000
0.2783 0.2783 0.1645
0.7217 0.7217 0.8355
```

Summary:
- calculated volume (Å³/atom) = 25.4
- total DFT energy (no corrections) (hartree per atom) = -0.277
- ΔE_f (raw) (eV/atom) = 0.11

***

CsGa2Au | PBE-GGA | optimized geometry

Cell and atoms, written as POSCAR:
```
CsGa2Au
1.0
3.5329 0.0000 0.0000
0.0000 3.5329 0.0000
0.0000 0.0000 8.5432
Cs Ga Au
1 2 1
Direct
0.0000 0.0000 0.0000
0.5000 0.5000 0.3335
0.5000 0.5000 0.6665
0.0000 0.0000 0.5000
```

Summary:
- calculated volume (Å³/atom) = 26.7
- total DFT energy (no corrections) (hartree per atom) = -0.095

***

AgAu | PBE-GGA | optimized geometry

Cell and atoms, written as POSCAR:
```
AgAu
1.0
2.9136 0.0000 0.0000
0.0000 4.8612 0.0000
0.0000 0.0000 5.0807
Ag Au
2 2
Direct
0.2500 0.2500 0.0844
0.7500 0.7500 0.9156
0.2500 0.7500 0.4145
0.7500 0.2500 0.5855
```

Summary:
- calculated volume (Å³/atom) = 18.0
- total DFT energy (no corrections) (hartree per atom) = -0.114

***

Sm2AlSi4Pd3 | PBE-GGA | optimized geometry

Cell and atoms, written as POSCAR:
```
Sm2AlSi4Pd3
1.0
4.1320 0.0000 0.0000
0.0000 4.1320 0.0000
0.0000 0.0000 10.4546
Sm Al Si Pd
2 1 4 3
Direct
0.0000 0.5000 0.2455
0.5000 0.0000 0.7545
0.0000 0.0000 0.5000
0.0000 0.0000 0.0000
0.0000 0.5000 0.6440
0.5000 0.0000 0.3560
0.5000 0.5000 0.0000
0.0000 0.5000 0.8749
0.5000 0.0000 0.1251
0.5000 0.5000 0.5000
```

Summary:
- calculated volume (Å³/atom) = 17.8
- total DFT energy (no corrections) (hartree per atom) = -0.216
- ΔE_f (raw) (eV/atom) = -0.83

***

Nd12Dy6Y | PBE-GGA | optimized geometry

Cell and atoms, written as POSCAR:
```
Nd12Dy6Y
1.0
6.0970 3.5201 5.1138
-6.0970 3.5201 5.1138
0.0000 -7.0402 5.1138
Nd Dy Y
12 6 1
Direct
0.0175 0.3627 0.1942
0.1942 0.0175 0.3627
0.2193 0.5669 0.4633
0.3627 0.1942 0.0175
0.4331 0.5367 0.7807
0.4633 0.2193 0.5669
0.5367 0.7807 0.4331
0.5669 0.4633 0.2193
0.6373 0.8058 0.9825
0.7807 0.4331 0.5367
0.8058 0.9825 0.6373
0.9825 0.6373 0.8058
0.0986 0.2600 0.7023
0.2600 0.7023 0.0986
0.2977 0.9014 0.7400
0.7023 0.0986 0.2600
0.7400 0.2977 0.9014
0.9014 0.7400 0.2977
0.0000 0.0000 0.0000
```

Summary:
- calculated volume (Å³/atom) = 34.7
- total DFT energy (no corrections) (hartree per atom) = -0.172
- ΔE to the lowest computed polymorph (eV/f.u.) = 0.00

***

Er3TmThSc | PBE-GGA | optimized geometry

Cell and atoms, written as POSCAR:
```
Er3TmThSc
1.0
2.4508 -7.3596 0.0000
2.4508 7.3596 0.0000
0.0000 0.0000 9.9295
Er Tm Th Sc
6 2 2 2
Direct
0.1653 0.8347 0.0000
0.1653 0.8347 0.5000
0.3315 0.6685 0.7500
0.6685 0.3315 0.2500
0.8347 0.1653 0.0000
0.8347 0.1653 0.5000
0.5000 0.5000 0.0000
0.5000 0.5000 0.5000
0.0026 0.9974 0.7500
0.9974 0.0026 0.2500
0.3348 0.6652 0.2500
0.6652 0.3348 0.7500
```

Summary:
- calculated volume (Å³/atom) = 29.8
- total DFT energy (no corrections) (hartree per atom) = -0.194

***

Sr4LaCr | PBE-GGA | optimized geometry

Cell and atoms, written as POSCAR:
```
Sr4LaCr
1.0
0.0000 5.1935 5.1935
5.1935 0.0000 5.1935
5.1935 5.1935 0.0000
Sr La Cr
4 1 1
Direct
0.1253 0.1253 0.1253
0.1253 0.1253 0.6241
0.1253 0.6241 0.1253
0.6241 0.1253 0.1253
0.5000 0.5000 0.5000
0.7500 0.7500 0.7500
```

Summary:
- calculated volume (Å³/atom) = 46.7
- total DFT energy (no corrections) (hartree per atom) = -0.103

***

Li4Pd6Au | PBE-GGA | optimized geometry

Cell and atoms, written as POSCAR:
```
Li4Pd6Au
1.0
-2.9702 2.9702 4.4963
2.9702 -2.9702 4.4963
2.9702 2.9702 -4.4963
Li Pd Au
4 6 1
Direct
0.2556 0.2556 0.6511
0.3956 0.7444 0.0000
0.6044 0.6044 0.3489
0.7444 0.3956 0.0000
0.0000 0.5000 0.5000
0.1028 0.4653 0.0000
0.4653 0.1028 0.0000
0.5000 0.0000 0.5000
0.5347 0.5347 0.6375
0.8972 0.8972 0.3625
0.0000 0.0000 0.0000
```

Summary:
- calculated volume (Å³/atom) = 14.4
- total DFT energy (no corrections) (hartree per atom) = -0.142

***

Pr2Al4Cu3Pt | PBE-GGA | optimized geometry

Cell and atoms, written as POSCAR:
```
Pr2Al4Cu3Pt
1.0
4.2521 0.0000 0.0000
0.0000 4.2521 0.0000
0.0000 0.0000 10.3354
Pr Al Cu Pt
2 4 3 1
Direct
0.0000 0.5000 0.2503
0.5000 0.0000 0.7497
0.0000 0.0000 0.0000
0.0000 0.5000 0.6295
0.5000 0.0000 0.3705
0.5000 0.5000 0.0000
0.0000 0.5000 0.8696
0.5000 0.0000 0.1304
0.5000 0.5000 0.5000
0.0000 0.0000 0.5000
```

Summary:
- calculated volume (Å³/atom) = 18.7
- total DFT energy (no corrections) (hartree per atom) = -0.178

***

Sr3Y3ErS8 | PBE-GGA | optimized geometry

Cell and atoms, written as POSCAR:
```
Sr3Y3ErS8
1.0
4.0000 2.3094 6.8594
-4.0000 2.3094 6.8594
0.0000 -4.6188 6.8594
Sr Y Er S
3 3 1 8
Direct
0.0000 0.5000 0.5000
0.5000 0.0000 0.5000
0.5000 0.5000 0.0000
0.0000 0.0000 0.5000
0.0000 0.5000 0.0000
0.5000 0.0000 0.0000
0.5000 0.5000 0.5000
0.2433 0.2433 0.2433
0.2448 0.7389 0.7389
0.2611 0.2611 0.7552
0.2611 0.7552 0.2611
0.7389 0.2448 0.7389
0.7389 0.7389 0.2448
0.7552 0.2611 0.2611
0.7567 0.7567 0.7567
```

Summary:
- calculated volume (Å³/atom) = 25.3
- total DFT energy (no corrections) (hartree per atom) = -0.229
- ΔE_f (raw) (eV/atom) = -2.09

***

Mg2TlZnH | PBE-GGA | optimized geometry

Cell and atoms, written as POSCAR:
```
Mg2TlZnH
1.0
4.5223 0.0000 0.0000
0.0000 4.5223 0.0000
0.0000 0.0000 4.1783
Mg Tl Zn H
2 1 1 1
Direct
0.0000 0.5000 0.0000
0.5000 0.0000 0.0000
0.0000 0.0000 0.5000
0.5000 0.5000 0.5000
0.5000 0.5000 0.0000
```

Summary:
- calculated volume (Å³/atom) = 17.1
- total DFT energy (no corrections) (hartree per atom) = -0.072

***

LaCo2Sb2 | PBE-GGA | optimized geometry

Cell and atoms, written as POSCAR:
```
LaCo2Sb2
1.0
4.5970 0.0000 0.0000
0.0000 4.5970 0.0000
0.0000 0.0000 9.6209
La Co Sb
2 4 4
Direct
0.0000 0.0000 0.0000
0.5000 0.5000 0.5000
0.0000 0.0000 0.3739
0.0000 0.0000 0.6261
0.5000 0.5000 0.1261
0.5000 0.5000 0.8739
0.0000 0.5000 0.2500
0.0000 0.5000 0.7500
0.5000 0.0000 0.2500
0.5000 0.0000 0.7500
```

Summary:
- calculated volume (Å³/atom) = 20.3
- total DFT energy (no corrections) (hartree per atom) = -0.215
- ΔE_f (raw) (eV/atom) = -0.36

***

U3VSb5 | PBE-GGA | optimized geometry

Cell and atoms, written as POSCAR:
```
U3VSb5
1.0
9.0845 0.0000 0.0000
-4.5423 7.8674 0.0000
0.0000 0.0000 6.1159
U V Sb
6 2 10
Direct
0.0000 0.3904 0.2500
0.0000 0.6096 0.7500
0.3904 0.0000 0.2500
0.3904 0.3904 0.7500
0.6096 0.0000 0.7500
0.6096 0.6096 0.2500
0.0000 0.0000 0.0000
0.0000 0.0000 0.5000
0.0000 0.2562 0.7500
0.0000 0.7438 0.2500
0.2562 0.0000 0.7500
0.2562 0.2562 0.2500
0.3333 0.6667 0.0000
0.3333 0.6667 0.5000
0.6667 0.3333 0.0000
0.6667 0.3333 0.5000
0.7438 0.0000 0.2500
0.7438 0.7438 0.7500
```

Summary:
- calculated volume (Å³/atom) = 24.3
- total DFT energy (no corrections) (hartree per atom) = -0.270
- ΔE_f (raw) (eV/atom) = -0.27

***

LaTlBr4 | PBE-GGA | optimized geometry

Cell and atoms, written as POSCAR:
```
LaTlBr4
1.0
5.0073 -7.0921 0.0000
5.0073 7.0921 0.0000
-4.1653 0.0000 6.2778
La Tl Br
2 2 8
Direct
0.0064 0.9936 0.7500
0.9936 0.0064 0.2500
0.3654 0.6346 0.2500
0.6346 0.3654 0.7500
0.0585 0.7339 0.9340
0.2157 0.3379 0.7102
0.2661 0.9415 0.5660
0.3379 0.2157 0.2102
0.6621 0.7843 0.7898
0.7339 0.0585 0.4340
0.7843 0.6621 0.2898
0.9415 0.2661 0.0660
```

Summary:
- calculated volume (Å³/atom) = 37.2
- total DFT energy (no corrections) (hartree per atom) = -0.143
- ΔE to the lowest computed polymorph (eV/f.u.) = 0.30
- ΔE_f (raw) (eV/atom) = -1.56

***

RbAuCl | PBE-GGA | optimized geometry

Cell and atoms, written as POSCAR:
```
RbAuCl
1.0
5.1940 0.0000 0.0000
1.0390 5.0902 0.0000
0.3579 0.2415 8.6093
Rb Au Cl
2 2 2
Direct
0.2066 0.2085 0.2263
0.7934 0.7915 0.7737
0.3910 0.3891 0.6116
0.6090 0.6109 0.3884
0.1976 0.1954 0.8383
0.8024 0.8046 0.1617
```

Summary:
- calculated volume (Å³/atom) = 37.9
- total DFT energy (no corrections) (hartree per atom) = -0.111
- ΔE_f (raw) (eV/atom) = -0.99

***

SrBe2O | PBE-GGA | optimized geometry

Cell and atoms, written as POSCAR:
```
SrBe2O
1.0
5.7075 0.0000 0.0000
0.0000 5.7075 0.0000
0.0000 0.0000 8.0883
Sr Be O
4 8 4
Direct
0.0000 0.2500 0.3750
0.0000 0.7500 0.6250
0.5000 0.2500 0.1250
0.5000 0.7500 0.8750
0.0000 0.0000 0.0000
0.0000 0.5000 0.0000
0.2500 0.2500 0.7500
0.2500 0.7500 0.2500
0.5000 0.0000 0.5000
0.5000 0.5000 0.5000
0.7500 0.2500 0.7500
0.7500 0.7500 0.2500
0.0000 0.2500 0.8750
0.0000 0.7500 0.1250
0.5000 0.2500 0.6250
0.5000 0.7500 0.3750
```

Summary:
- calculated volume (Å³/atom) = 16.5
- total DFT energy (no corrections) (hartree per atom) = -0.142
- ΔE_f (raw) (eV/atom) = -0.35

***

Re3AsRh | PBE-GGA | optimized geometry

Cell and atoms, written as POSCAR:
```
Re3AsRh
1.0
4.4887 0.0000 0.0000
0.0000 4.4887 0.0000
0.0000 0.0000 4.4887
Re As Rh
3 1 1
Direct
0.0000 0.0000 0.5000
0.0000 0.5000 0.0000
0.5000 0.0000 0.0000
0.0000 0.0000 0.0000
0.5000 0.5000 0.5000
```

Summary:
- calculated volume (Å³/atom) = 18.1
- total DFT energy (no corrections) (hartree per atom) = -0.299
- ΔE to the lowest computed polymorph (eV/f.u.) = 0.00

***

Li2InSeS | PBE-GGA | optimized geometry

Cell and atoms, written as POSCAR:
```
Li2InSeS
1.0
4.7587 0.0000 0.0000
0.0000 4.7587 0.0000
0.0000 0.0000 5.1985
Li In Se S
2 1 1 1
Direct
0.0000 0.5000 0.0000
0.5000 0.0000 0.0000
0.0000 0.0000 0.5000
0.5000 0.5000 0.0000
0.5000 0.5000 0.5000
```

Summary:
- calculated volume (Å³/atom) = 23.5
- total DFT energy (no corrections) (hartree per atom) = -0.118
- ΔE_f (raw) (eV/atom) = -0.38

***

Gd2TmGe | PBE-GGA | optimized geometry

Cell and atoms, written as POSCAR:
```
Gd2TmGe
1.0
3.4803 0.0000 0.0000
-1.7401 3.0140 0.0000
0.0000 0.0000 34.5919
Gd Tm Ge
6 3 3
Direct
0.0000 0.0000 0.0843
0.0000 0.0000 0.9157
0.3333 0.6667 0.5824
0.3333 0.6667 0.7510
0.6667 0.3333 0.2490
0.6667 0.3333 0.4176
0.0000 0.0000 0.5000
0.3333 0.6667 0.1667
0.6667 0.3333 0.8333
0.0000 0.0000 0.0000
0.3333 0.6667 0.6667
0.6667 0.3333 0.3333
```

Summary:
- calculated volume (Å³/atom) = 30.2
- total DFT energy (no corrections) (hartree per atom) = -0.336
- ΔE to the lowest computed polymorph (eV/f.u.) = 2.00